No. 1
Entry from the Alexandria database: an optimized crystal structure of AlP2Pb (PBEsol).

energy = -0.1760 hartree per atom
energy of formation = 129 meV/atom
density = 6.2 g cm⁻³
energy above the most stable polymorph in this dataset = 217.0 meV/atom
space-group type = R3m (160)

The structure in CIF format:
```
data_AlP2Pb
_chemical_formula_sum 'Al1 P2 Pb1'
_space_group_name_H-M_alt 'P 1'
_space_group_IT_number 1
_cell_length_a 8.4900
_cell_length_b 8.4900
_cell_length_c 8.4900
_cell_angle_alpha 22.63
_cell_angle_beta 22.63
_cell_angle_gamma 22.63
loop_
_space_group_symop_operation_xyz
'x,y,z'
loop_
_atom_site_label
_atom_site_fract_x
_atom_site_fract_y
_atom_site_fract_z
Al1 0.0000 0.0000 0.0000
P1 0.4584 0.4584 0.4584
P2 0.7399 0.7399 0.7399
Pb1 0.2355 0.2355 0.2355
```


No. 2
Entry from the Alexandria database: an optimized crystal structure of LiYCoAs2 (PBEsol).

energy = -0.2104 hartree per atom
energy of formation = -376 meV/atom
density = 5.8 g cm⁻³
space-group type = P4/mmm (123)

The structure in CIF format:
```
data_LiYCoAs2
_chemical_formula_sum 'Li1 Y1 Co1 As2'
_space_group_name_H-M_alt 'P 1'
_space_group_IT_number 1
_cell_length_a 4.5603
_cell_length_b 4.5603
_cell_length_c 4.1970
_cell_angle_alpha 90.00
_cell_angle_beta 90.00
_cell_angle_gamma 90.00
loop_
_space_group_symop_operation_xyz
'x,y,z'
loop_
_atom_site_label
_atom_site_fract_x
_atom_site_fract_y
_atom_site_fract_z
Li1 0.0000 0.0000 0.0000
Y1 0.5000 0.5000 0.0000
Co1 0.0000 0.0000 0.5000
As1 0.0000 0.5000 0.5000
As2 0.5000 0.0000 0.5000
```


No. 3
Entry from the Alexandria database: an optimized crystal structure of PbI2 (PBEsol).

energy = -0.1144 hartree per atom
density = 6.2 g cm⁻³
ΔE_f (raw) = -0.60 eV per atom
space-group type = P6_3mc (186)

The structure in CIF format:
```
data_PbI2
_chemical_formula_sum 'Pb2 I4'
_space_group_name_H-M_alt 'P 1'
_space_group_IT_number 1
_cell_length_a 4.5173
_cell_length_b 4.5173
_cell_length_c 14.0697
_cell_angle_alpha 90.00
_cell_angle_beta 90.00
_cell_angle_gamma 120.00
loop_
_space_group_symop_operation_xyz
'x,y,z'
loop_
_atom_site_label
_atom_site_fract_x
_atom_site_fract_y
_atom_site_fract_z
Pb1 0.3333 0.6667 0.0000
Pb2 0.6667 0.3333 0.5000
I1 0.0000 0.0000 0.3668
I2 0.0000 0.0000 0.8668
I3 0.3333 0.6667 0.6333
I4 0.6667 0.3333 0.1333
```


No. 4
Entry from the Alexandria database: an optimized crystal structure of TlSbAu (PBEsol).

energy = -0.1355 hartree per atom
density = 11.1 g cm⁻³
energy above the most stable polymorph in this dataset = 102.7 meV/atom
ΔE_f (raw) = 0.02 eV per atom
space-group type = P-6m2 (187)

The structure in CIF format:
```
data_TlSbAu
_chemical_formula_sum 'Tl1 Sb1 Au1'
_space_group_name_H-M_alt 'P 1'
_space_group_IT_number 1
_cell_length_a 4.6457
_cell_length_b 4.6457
_cell_length_c 4.1987
_cell_angle_alpha 90.00
_cell_angle_beta 90.00
_cell_angle_gamma 120.00
loop_
_space_group_symop_operation_xyz
'x,y,z'
loop_
_atom_site_label
_atom_site_fract_x
_atom_site_fract_y
_atom_site_fract_z
Tl1 0.0000 0.0000 0.0000
Sb1 0.6667 0.3333 0.5000
Au1 0.3333 0.6667 0.5000
```


No. 5
Entry from the Alexandria database: an optimized crystal structure of ZnGa3 (PBEsol).

energy = -0.1053 hartree per atom
energy of formation = 35 meV/atom
density = 6.8 g cm⁻³
space-group type = Pm-3m (221)

The structure in CIF format:
```
data_ZnGa3
_chemical_formula_sum 'Zn1 Ga3'
_space_group_name_H-M_alt 'P 1'
_space_group_IT_number 1
_cell_length_a 4.0532
_cell_length_b 4.0532
_cell_length_c 4.0532
_cell_angle_alpha 90.00
_cell_angle_beta 90.00
_cell_angle_gamma 90.00
loop_
_space_group_symop_operation_xyz
'x,y,z'
loop_
_atom_site_label
_atom_site_fract_x
_atom_site_fract_y
_atom_site_fract_z
Zn1 0.0000 0.0000 0.0000
Ga1 0.0000 0.5000 0.5000
Ga2 0.5000 0.0000 0.5000
Ga3 0.5000 0.5000 0.0000
```


No. 6
Entry from the Alexandria database: an optimized crystal structure of Cd3GeIr (PBEsol).

energy = -0.0911 hartree per atom
energy of formation = 1192 meV/atom
density = 8.6 g cm⁻³
space-group type = Pm-3m (221)

The structure in CIF format:
```
data_Cd3GeIr
_chemical_formula_sum 'Cd3 Ge1 Ir1'
_space_group_name_H-M_alt 'P 1'
_space_group_IT_number 1
_cell_length_a 4.8736
_cell_length_b 4.8736
_cell_length_c 4.8736
_cell_angle_alpha 90.00
_cell_angle_beta 90.00
_cell_angle_gamma 90.00
loop_
_space_group_symop_operation_xyz
'x,y,z'
loop_
_atom_site_label
_atom_site_fract_x
_atom_site_fract_y
_atom_site_fract_z
Cd1 0.0000 0.0000 0.5000
Cd2 0.0000 0.5000 0.0000
Cd3 0.5000 0.0000 0.0000
Ge1 0.0000 0.0000 0.0000
Ir1 0.5000 0.5000 0.5000
```


No. 7
Entry from the Alexandria database: an optimized crystal structure of ZrInIr2 (PBEsol).

energy = -0.3101 hartree per atom
energy of formation = -508 meV/atom
density = 14.6 g cm⁻³
space-group type = Cmmm (65)

The structure in CIF format:
```
data_ZrInIr2
_chemical_formula_sum 'Zr1 In1 Ir2'
_space_group_name_H-M_alt 'P 1'
_space_group_IT_number 1
_cell_length_a 4.6641
_cell_length_b 4.6641
_cell_length_c 3.1343
_cell_angle_alpha 90.00
_cell_angle_beta 90.00
_cell_angle_gamma 98.84
loop_
_space_group_symop_operation_xyz
'x,y,z'
loop_
_atom_site_label
_atom_site_fract_x
_atom_site_fract_y
_atom_site_fract_z
Zr1 0.0000 0.0000 0.0000
In1 0.5000 0.5000 0.0000
Ir1 0.0000 0.5000 0.5000
Ir2 0.5000 0.0000 0.5000
```


No. 8
Entry from the Alexandria database: an optimized crystal structure of V5S4 (PBEsol).

energy = -0.3065 hartree per atom
density = 5.2 g cm⁻³
ΔE_f (raw) = -1.04 eV per atom
space-group type = I4/m (87)

The structure in CIF format:
```
data_V5S4
_chemical_formula_sum 'V5 S4'
_space_group_name_H-M_alt 'P 1'
_space_group_IT_number 1
_cell_length_a 6.4521
_cell_length_b 6.4521
_cell_length_c 6.4521
_cell_angle_alpha 93.34
_cell_angle_beta 93.34
_cell_angle_gamma 152.06
loop_
_space_group_symop_operation_xyz
'x,y,z'
loop_
_atom_site_label
_atom_site_fract_x
_atom_site_fract_y
_atom_site_fract_z
V1 0.0000 0.0000 0.0000
V2 0.2994 0.6215 0.9209
V3 0.3785 0.2994 0.6779
V4 0.6215 0.7006 0.3221
V5 0.7006 0.3785 0.0791
S1 0.0621 0.7273 0.7893
S2 0.2727 0.0621 0.3348
S3 0.7273 0.9379 0.6652
S4 0.9379 0.2727 0.2107
```


No. 9
Entry from the Alexandria database: an optimized crystal structure of Ca2ZnTe (PBEsol).

energy = -0.1102 hartree per atom
density = 3.8 g cm⁻³
energy above the most stable polymorph in this dataset = 43.9 meV/atom
ΔE_f (raw) = -0.66 eV per atom
space-group type = P4mm (99)

The structure in CIF format:
```
data_Ca2ZnTe
_chemical_formula_sum 'Ca2 Zn1 Te1'
_space_group_name_H-M_alt 'P 1'
_space_group_IT_number 1
_cell_length_a 4.3777
_cell_length_b 4.3777
_cell_length_c 6.2311
_cell_angle_alpha 90.00
_cell_angle_beta 90.00
_cell_angle_gamma 90.00
loop_
_space_group_symop_operation_xyz
'x,y,z'
loop_
_atom_site_label
_atom_site_fract_x
_atom_site_fract_y
_atom_site_fract_z
Ca1 0.0000 0.0000 0.0000
Ca2 0.5000 0.5000 0.4994
Zn1 0.0000 0.0000 0.5001
Te1 0.5000 0.5000 0.9993
```


No. 10
Entry from the Alexandria database: an optimized crystal structure of LaAl3Br12 (PBEsol).

energy = -0.1398 hartree per atom
density = 3.3 g cm⁻³
ΔE_f (raw) = -1.30 eV per atom
space-group type = P3_121 (152)

The structure in CIF format:
```
data_LaAl3Br12
_chemical_formula_sum 'La3 Al9 Br36'
_space_group_name_H-M_alt 'P 1'
_space_group_IT_number 1
_cell_length_a 10.5829
_cell_length_b 10.5829
_cell_length_c 18.6108
_cell_angle_alpha 90.00
_cell_angle_beta 90.00
_cell_angle_gamma 120.00
loop_
_space_group_symop_operation_xyz
'x,y,z'
loop_
_atom_site_label
_atom_site_fract_x
_atom_site_fract_y
_atom_site_fract_z
La1 0.0000 0.7396 0.1667
La2 0.2604 0.2604 0.5000
La3 0.7396 0.0000 0.8333
Al1 0.0000 0.0870 0.6667
Al2 0.0870 0.0000 0.3333
Al3 0.3029 0.6507 0.2314
Al4 0.3478 0.6971 0.8980
Al5 0.3493 0.6522 0.5647
Al6 0.6507 0.3029 0.7686
Al7 0.6522 0.3493 0.4353
Al8 0.6971 0.3478 0.1020
Al9 0.9130 0.9130 0.0000
Br1 0.0385 0.2291 0.7681
Br2 0.0597 0.1957 0.3663
Br3 0.0772 0.6004 0.2849
Br4 0.1359 0.9403 0.0329
Br5 0.1461 0.7056 0.8664
Br6 0.1906 0.9615 0.4348
Br7 0.1957 0.0597 0.6337
Br8 0.1958 0.6865 0.6357
Br9 0.2262 0.5183 0.4604
Br10 0.2291 0.0385 0.2319
Br11 0.2920 0.7738 0.1271
Br12 0.2944 0.4404 0.1997
Br13 0.3135 0.5093 0.9690
Br14 0.3996 0.4768 0.6182
Br15 0.4404 0.2944 0.8003
Br16 0.4768 0.3996 0.3818
Br17 0.4817 0.7080 0.7937
Br18 0.4907 0.8042 0.3024
Br19 0.5093 0.3135 0.0310
Br20 0.5183 0.2262 0.5396
Br21 0.5232 0.9228 0.9515
Br22 0.5596 0.8539 0.5330
Br23 0.6004 0.0772 0.7151
Br24 0.6865 0.1958 0.3643
Br25 0.7056 0.1461 0.1336
Br26 0.7080 0.4817 0.2063
Br27 0.7709 0.8094 0.1015
Br28 0.7738 0.2920 0.8729
Br29 0.8042 0.4907 0.6976
Br30 0.8043 0.8641 0.6996
Br31 0.8094 0.7709 0.8985
Br32 0.8539 0.5596 0.4670
Br33 0.8641 0.8043 0.3004
Br34 0.9228 0.5232 0.0485
Br35 0.9403 0.1359 0.9671
Br36 0.9615 0.1906 0.5652
```